Material: KH6PdRh
Method: DFT, GGA-PBE
State: optimized geometry

Calculated values
- SG = No. 8
- DFT total energy (eV per cell) = -34.788

Cell lengths 5.025, 5.025, 4.431 Å; angles 90.06, 90.06, 63.53 degrees
Sites, in units of the cell vectors:
K 0.000 0.000 0.000
H 0.050 0.679 0.499
H 0.328 0.989 0.501
H 0.495 0.495 0.287
H 0.495 0.495 0.712
H 0.679 0.050 0.499
H 0.989 0.328 0.501
Pd 0.678 0.678 0.500
Rh 0.333 0.333 0.499